VASP calculation (PBE-GGA) on a relaxed structure of BaHSeN2.

```
data_BaHSeN2
_chemical_formula_sum 'Ba1 H1 Se1 N2'
_symmetry_space_group_name_H-M 'P 4/m m m'
_symmetry_Int_Tables_number 123
_symmetry_space_group_name_Hall '-P 4 2'
_cell_length_a 4.752
_cell_length_b 4.752
_cell_length_c 3.590
_cell_angle_alpha 90.00
_cell_angle_beta 90.00
_cell_angle_gamma 90.00
loop_
_atom_site_label
_atom_site_fract_x
_atom_site_fract_y
_atom_site_fract_z
_atom_site_occupancy
Ba1 0.000 0.000 0.000 1
H1 0.500 0.500 0.500 1
Se1 0.500 0.500 0.000 1
N1 0.000 0.500 0.500 1
```

* calculated total energy: -3.96 eV per atom
* spin magnetization: 0.6416 μB per atom